# Sr3PrSe4

Sr3PrSe4 after structural relaxation (PBE, Alexandria).

Properties
Its formation energy without anion corrections is -1.983 eV/atom. For the energy, the calculation gives -4.954 eV per atom.

Cell and atoms, written as CIF:
```
data_Sr3PrSe4
_chemical_formula_sum 'Sr6 Pr2 Se8'
_cell_length_a 8.810
_cell_length_b 12.423
_cell_length_c 4.374
_cell_angle_alpha 90.00
_cell_angle_beta 90.00
_cell_angle_gamma 90.00
_space_group_name_H-M_alt 'C m m m'
_space_group_IT_number 65
_space_group_name_Hall '-C 2 2'
loop_
_atom_site_label
_atom_site_fract_x
_atom_site_fract_y
_atom_site_fract_z
Sr1 0.000 0.000 0.000
Sr2 0.250 0.250 0.500
Pr1 0.000 0.500 0.000
Se1 0.000 0.254 0.000
Se2 0.244 0.500 0.500
```

=====

# ZrIn3Ga

ZrIn3Ga after structural relaxation (PBE, Alexandria).

Properties
For the energy, the calculation gives -3.382 eV per atom. The formation energy is 0.576 eV/atom.

Cell and atoms, written as CIF:
```
data_ZrIn3Ga
_chemical_formula_sum 'Zr1 In3 Ga1'
_cell_length_a 5.615
_cell_length_b 5.615
_cell_length_c 5.615
_cell_angle_alpha 90.00
_cell_angle_beta 90.00
_cell_angle_gamma 90.00
_space_group_name_H-M_alt 'P m -3 m'
_space_group_IT_number 221
_space_group_name_Hall '-P 4 2 3'
loop_
_atom_site_label
_atom_site_fract_x
_atom_site_fract_y
_atom_site_fract_z
Zr1 0.000 0.000 0.000
In1 0.000 0.000 0.500
Ga1 0.500 0.500 0.500
```

=====

# Zr2CrCu

Zr2CrCu after structural relaxation (PBE, Alexandria).

Properties
For the energy, the calculation gives -7.558 eV per atom. The formation energy is 0.146 eV/atom.

Cell and atoms, written as CIF:
```
data_Zr2CrCu
_chemical_formula_sum 'Zr2 Cr1 Cu1'
_cell_length_a 3.264
_cell_length_b 3.264
_cell_length_c 6.810
_cell_angle_alpha 90.00
_cell_angle_beta 90.00
_cell_angle_gamma 90.00
_space_group_name_H-M_alt 'P 4 m m'
_space_group_IT_number 99
loop_
_space_group_symop_operation_xyz
'x,y,z'
'-y,x,z'
'-x,-y,z'
'y,-x,z'
'-x,y,z'
'y,x,z'
'x,-y,z'
'-y,-x,z'
loop_
_atom_site_label
_atom_site_fract_x
_atom_site_fract_y
_atom_site_fract_z
Zr1 0.000 0.000 0.000
Zr2 0.500 0.500 0.312
Cr1 0.000 0.000 0.565
Cu1 0.500 0.500 0.757
```

=====

Copy entry 1 word for word.
# Sr3PrSe4

Sr3PrSe4 after structural relaxation (PBE, Alexandria).

Properties
Its formation energy without anion corrections is -1.983 eV/atom. For the energy, the calculation gives -4.954 eV per atom.

Cell and atoms, written as CIF:
```
data_Sr3PrSe4
_chemical_formula_sum 'Sr6 Pr2 Se8'
_cell_length_a 8.810
_cell_length_b 12.423
_cell_length_c 4.374
_cell_angle_alpha 90.00
_cell_angle_beta 90.00
_cell_angle_gamma 90.00
_space_group_name_H-M_alt 'C m m m'
_space_group_IT_number 65
_space_group_name_Hall '-C 2 2'
loop_
_atom_site_label
_atom_site_fract_x
_atom_site_fract_y
_atom_site_fract_z
Sr1 0.000 0.000 0.000
Sr2 0.250 0.250 0.500
Pr1 0.000 0.500 0.000
Se1 0.000 0.254 0.000
Se2 0.244 0.500 0.500
```